1.
VASP calculation (GGA-PBE) on Re5W7 after structural relaxation.

Summary:
As for the size of the total moment: 0.0007 μB/atom. As for the crystal system: hexagonal. The calculation puts the volume at 389.82 Å³/cell. The offset from the most stable computed form comes out at 119 meV/atom. Its calculated formation energy is 466 kJ/mol of formula units.

abc: 5.1800 5.1800 16.7758
angles: 90.00 90.00 120.00
Closest atoms and distances in Å follow each position.
Element x y z (fractional)
Re 0.0000 0.0000 0.0933  4 Re 2.99-3.13, 12 W 3.03-3.20
Re 0.0000 0.0000 0.4067  4 Re 2.99-3.13, 12 W 3.03-3.20
Re 0.0000 0.0000 0.5933  4 Re 2.99-3.13, 12 W 3.03-3.20
Re 0.0000 0.0000 0.9067  4 Re 2.99-3.13, 12 W 3.03-3.20
Re 0.1598 0.3195 0.2500  4 Re 2.48-2.70, 2 W 2.57
Re 0.1598 0.8402 0.2500  4 Re 2.48-2.70, 2 W 2.57
Re 0.3195 0.1598 0.7500  4 Re 2.48-2.70, 2 W 2.57
Re 0.6805 0.8402 0.2500  4 Re 2.48-2.70, 2 W 2.57
Re 0.8402 0.1598 0.7500  4 Re 2.48-2.70, 2 W 2.57
Re 0.8402 0.6805 0.7500  4 Re 2.48-2.70, 2 W 2.57
W 0.0000 0.5000 0.0000  6 W 2.59-2.62
W 0.0000 0.5000 0.5000  6 W 2.59-2.62
W 0.3333 0.6667 0.1283  3 Re 2.57, 3 W 2.62
W 0.3333 0.6667 0.3717  3 Re 2.57, 3 W 2.62
W 0.3333 0.6667 0.6610  7 W 2.98-3.09, 9 Re 2.99-3.20
W 0.3333 0.6667 0.8390  7 W 2.98-3.09, 9 Re 2.99-3.20
W 0.5000 0.0000 0.0000  6 W 2.59-2.62
W 0.5000 0.0000 0.5000  6 W 2.59-2.62
W 0.5000 0.5000 0.0000  6 W 2.59-2.62
W 0.5000 0.5000 0.5000  6 W 2.59-2.62
W 0.6667 0.3333 0.1610  7 W 2.98-3.09, 9 Re 2.99-3.20
W 0.6667 0.3333 0.3390  7 W 2.98-3.09, 9 Re 2.99-3.20
W 0.6667 0.3333 0.6283  3 Re 2.57, 3 W 2.62
W 0.6667 0.3333 0.8717  3 Re 2.57, 3 W 2.62

2.
VASP calculation (GGA-PBE) on Pa3C2S after structural relaxation.

Summary:
As for the size of the total moment: 0.0016 μB/atom. As for the crystal system: orthorhombic. The calculation puts the volume at 107.78 Å³/cell.

abc: 6.4336 6.4336 6.4336
angles: 146.99 131.44 59.98
Closest atoms and distances in Å follow each position.
Element x y z (fractional)
Pa 0.0000 0.0000 0.0000  4 C 2.59, 2 S 2.65
Pa 0.3169 0.3169 0.0000  4 C 2.49-2.65, 2 S 2.74
Pa 0.6831 0.6831 0.0000  4 C 2.49-2.65, 2 S 2.74
C 0.1652 0.6652 0.5000  6 Pa 2.49-2.65
C 0.8348 0.3348 0.5000  6 Pa 2.49-2.65
S 0.5000 0.0000 0.5000  6 Pa 2.65-2.74

3.
VASP calculation (GGA-PBE) on RbHfSi after structural relaxation.

Summary:
As for the size of the total moment: 0.3106 μB/atom. As for the crystal system: cubic. The calculation puts the volume at 86.38 Å³/cell. The offset from the most stable computed form comes out at 0 meV/atom.

abc: 4.9618 4.9618 4.9618
angles: 60.00 60.00 60.00
Closest atoms and distances in Å follow each position.
Element x y z (fractional)
Rb 0.0000 0.0000 0.0000  4 Si 3.04
Hf 0.5000 0.5000 0.5000  4 Si 3.04
Si 0.7500 0.7500 0.7500  4 Hf 3.04, 4 Rb 3.04

4.
VASP calculation (GGA-PBE) on NaZrTe3Au after structural relaxation.

Summary:
As for the size of the total moment: 0.0005 μB/atom. As for the crystal system: orthorhombic. The calculation puts the volume at 667.51 Å³/cell. The offset from the most stable computed form comes out at 0 meV/atom.

abc: 14.3620 4.1339 11.2429
angles: 90.00 90.00 90.00
Closest atoms and distances in Å follow each position.
Element x y z (fractional)
Na 0.2237 0.2500 0.0604  6 Te 3.26-3.29
Na 0.2763 0.7500 0.5604  6 Te 3.26-3.29
Na 0.7237 0.2500 0.4396  6 Te 3.26-3.29
Na 0.7763 0.7500 0.9396  6 Te 3.26-3.29
Zr 0.0106 0.2500 0.3145  6 Te 2.85-3.05
Zr 0.4894 0.7500 0.8145  6 Te 2.85-3.05
Zr 0.5106 0.2500 0.1855  6 Te 2.85-3.05
Zr 0.9894 0.7500 0.6855  6 Te 2.85-3.05
Te 0.1008 0.2500 0.5600  3 Zr 2.97-3.05, 2 Na 3.26
Te 0.1233 0.7500 0.8724  1 Zr 2.85, 3 Au 2.86-2.99
Te 0.1519 0.7500 0.2659  1 Au 2.76, 2 Zr 2.95
Te 0.3481 0.2500 0.7659  1 Au 2.76, 2 Zr 2.95
Te 0.3767 0.2500 0.3724  1 Zr 2.85, 3 Au 2.86-2.99
Te 0.3992 0.7500 0.0600  3 Zr 2.97-3.05, 2 Na 3.26
Te 0.6008 0.2500 0.9400  3 Zr 2.97-3.05, 2 Na 3.26
Te 0.6233 0.7500 0.6276  1 Zr 2.85, 3 Au 2.86-2.99
Te 0.6519 0.7500 0.2341  1 Au 2.76, 2 Zr 2.95
Te 0.8481 0.2500 0.7341  1 Au 2.76, 2 Zr 2.95
Te 0.8767 0.2500 0.1276  1 Zr 2.85, 3 Au 2.86-2.99
Te 0.8992 0.7500 0.4400  3 Zr 2.97-3.05, 2 Na 3.26
Au 0.0122 0.7500 0.0978  4 Te 2.76-2.99, 2 Au 3.04
Au 0.4878 0.2500 0.5978  4 Te 2.76-2.99, 2 Au 3.04
Au 0.5122 0.7500 0.4022  4 Te 2.76-2.99, 2 Au 3.04
Au 0.9878 0.2500 0.9022  4 Te 2.76-2.99, 2 Au 3.04

5.
VASP calculation (GGA-PBE) on GaFeCuTc after structural relaxation.

Summary:
As for the size of the total moment: 0.7258 μB/atom. As for the crystal system: cubic. The calculation puts the volume at 52.90 Å³/cell. The offset from the most stable computed form comes out at 0 meV/atom.

abc: 4.2137 4.2137 4.2137
angles: 60.00 60.00 60.00
Closest atoms and distances in Å follow each position.
Element x y z (fractional)
Ga 0.0000 0.0000 0.0000  4 Tc 2.58, 4 Cu 2.58
Fe 0.5000 0.5000 0.5000  4 Tc 2.58, 4 Cu 2.58
Cu 0.2500 0.2500 0.2500  4 Fe 2.58, 4 Ga 2.58
Tc 0.7500 0.7500 0.7500  4 Fe 2.58, 4 Ga 2.58

6.
VASP calculation (GGA-PBE) on PrNdGa2Ni4 after structural relaxation.

Summary:
As for the size of the total moment: 0.0000 μB/atom. As for the crystal system: hexagonal. The calculation puts the volume at 142.32 Å³/cell.

abc: 4.1786 4.1786 9.4117
angles: 90.00 90.00 120.00
Closest atoms and distances in Å follow each position.
Element x y z (fractional)
Pr 0.0000 0.0000 0.0000  8 Ni 2.88-3.05
Nd 0.6667 0.3333 0.5000  8 Ni 2.85-3.02
Ga 0.3333 0.6667 0.2519  6 Ni 2.47
Ga 0.3333 0.6667 0.7481  6 Ni 2.47
Ni 0.0000 0.0000 0.3061  3 Ga 2.47, 3 Ni 2.62
Ni 0.0000 0.0000 0.6939  3 Ga 2.47, 3 Ni 2.62
Ni 0.6667 0.3333 0.1976  3 Ga 2.47, 3 Ni 2.62
Ni 0.6667 0.3333 0.8024  3 Ga 2.47, 3 Ni 2.62

7.
VASP calculation (GGA-PBE) on B2Mo2Pb after structural relaxation.

Summary:
As for the size of the total moment: 0.0003 μB/atom. As for the crystal system: orthorhombic. The calculation puts the volume at 70.48 Å³/cell.

abc: 7.5056 7.5056 3.1135
angles: 90.00 90.00 156.31
Closest atoms and distances in Å follow each position.
Element x y z (fractional)
B 0.2173 0.7827 0.0000  2 B 1.82
B 0.7827 0.2173 0.0000  2 B 1.82
Mo 0.3329 0.6671 0.5000  6 B 2.30-2.31
Mo 0.6671 0.3329 0.5000  6 B 2.30-2.31
Pb 0.0000 0.0000 0.0000  4 Pb 3.08-3.11, 2 B 3.19, 8 Mo 3.29

8.
VASP calculation (GGA-PBE) on RbErO3 after structural relaxation.

Summary:
As for the size of the total moment: 0.4000 μB/atom. As for the crystal system: trigonal. The calculation puts the volume at 192.19 Å³/cell.

abc: 6.5279 6.5279 6.5279
angles: 58.99 58.99 58.99
Closest atoms and distances in Å follow each position.
Element x y z (fractional)
Rb 0.1213 0.1213 0.1213  6 O 2.90-3.04
Rb 0.8787 0.8787 0.8787  6 O 2.90-3.04
Er 0.3457 0.3457 0.3457  6 O 2.19-2.22
Er 0.6543 0.6543 0.6543  6 O 2.19-2.22
O 0.0513 0.5344 0.6238  2 Er 2.19-2.22, 1 O 2.33
O 0.3762 0.9487 0.4656  2 Er 2.19-2.22, 1 O 2.33
O 0.4656 0.3762 0.9487  2 Er 2.19-2.22, 1 O 2.33
O 0.5344 0.6238 0.0513  2 Er 2.19-2.22, 1 O 2.33
O 0.6238 0.0513 0.5344  2 Er 2.19-2.22, 1 O 2.33
O 0.9487 0.4656 0.3762  2 Er 2.19-2.22, 1 O 2.33

9.
VASP calculation (GGA-PBE) on CdSiBi2 after structural relaxation.

Summary:
As for the crystal system: cubic. The calculation puts the volume at 105.49 Å³/cell.

abc: 5.3036 5.3036 5.3036
angles: 60.00 60.00 60.00
Closest atoms and distances in Å follow each position.
Element x y z (fractional)
Cd 0.0000 0.0000 0.0000  4 Si 3.25, 4 Bi 3.25
Si 0.7500 0.7500 0.7500  4 Cd 3.25, 4 Bi 3.25
Bi 0.2500 0.2500 0.2500  4 Cd 3.25, 4 Bi 3.25
Bi 0.5000 0.5000 0.5000  4 Si 3.25, 4 Bi 3.25

| no. | final energy (eV per atom) |
| --- | --- |
| 1 | -12.3340 |
| 2 | -9.3546 |
| 3 | -4.4453 |
| 4 | -4.4785 |
| 5 | -6.2882 |
| 6 | -5.2368 |
| 7 | -7.7299 |
| 8 | -5.9707 |
| 9 | -3.1929 |